No. 1
This record from the Alexandria database describes an optimized crystal structure of La6Nd2SmTm. The functional is PBE.

a = 9.9098 Å, b = 15.4015 Å, c = 9.3029 Å
α = 90.00°, β = 90.12°, γ = 90.00°
Last column: nearest neighbours and their distance in Å.
Space group C2/c (No. 15)
Asymmetric unit:
La  0.0735  0.1488  0.0930 [8 per cell]  4 La 3.27-3.61, 1 Sm 3.49, 1 Nd 3.60
La  0.0746  0.3546  0.9067 [8 per cell]  4 La 3.27-3.61, 1 Tm 3.49, 1 Nd 3.57
La  0.2489  0.2182  0.6810 [8 per cell]  3 La 3.42-3.51, 1 Sm 3.43, 1 Tm 3.45, 2 Nd 3.51-3.81
Nd  0.2488  0.4553  0.5638 [8 per cell]  2 Tm 3.48-3.83, 2 Sm 3.50-3.86, 6 La 3.51-3.81
Sm  0.0000  0.0692  0.7500 [4 per cell]  6 La 3.43-3.73, 2 Nd 3.50
Tm  0.0000  0.4317  0.2500 [4 per cell]  6 La 3.45-3.67, 4 Nd 3.48-3.83

Formation enthalpy at 0 K in eV per atom: 0.11
DFT total energy in eV per atom: -4.719
N(E_F) in states/eV/atom: 1.245
Total moment in μB/f.u.: 0.000

---

No. 2
This record from the Alexandria database describes an optimized crystal structure of LaNdSmTm. The functional is PBE.

a = 8.1854 Å, b = 8.1854 Å, c = 8.1854 Å
α = 90.00°, β = 90.00°, γ = 90.00°
Last column: nearest neighbours and their distance in Å.
Space group F-43m (No. 216)
Asymmetric unit:
La  0.0000  0.0000  0.0000 [4 per cell]  4 Tm 3.54, 4 Sm 3.54
Nd  0.0000  0.0000  0.5000 [4 per cell]  4 Sm 3.54, 4 Tm 3.54
Sm  0.2500  0.2500  0.7500 [4 per cell]  4 La 3.54, 4 Nd 3.54
Tm  0.2500  0.2500  0.2500 [4 per cell]  4 Nd 3.54, 4 La 3.54

Formation enthalpy at 0 K in eV per atom: 0.11
DFT total energy in eV per atom: -4.613
Offset from the most stable computed form in meV/atom: 84.7
N(E_F) in states/eV/atom: 1.953
Total moment in μB/f.u.: 0.001